[1]
Sc3NbV: relaxed, PBE.

DFT formation energy ... 4.271 eV/f.u.
Total moment ... 0.2 μB per formula unit
Distance to the lowest polymorph of the same formula ... 0.000 eV/atom

Unit cell a=4.7864 b=4.7864 c=4.7864 alpha=90.00 beta=90.00 gamma=90.00
Site moments in Bohr magnetons follow the coordinates.
Element x y z (fractional)
Sc 0.5000 0.0000 0.0000  0.02
Sc 0.0000 0.5000 0.0000  0.02
Sc 0.0000 0.0000 0.5000  0.02
Nb 0.5000 0.5000 0.5000  -0.03
V 0.0000 0.0000 0.0000  0.18

***

[2]
ScNbV2: relaxed, PBE.

DFT formation energy ... 1.041 eV/f.u.
Total moment ... 0.0 μB per formula unit
Distance to the lowest polymorph of the same formula ... 0.099 eV/atom

Unit cell a=3.1905 b=4.5904 c=4.5904 alpha=90.00 beta=90.00 gamma=90.00
Element x y z (fractional)
V 0.0000 0.5000 0.0000
V 0.0000 0.0000 0.5000
Sc 0.5000 0.5000 0.5000
Nb 0.5000 0.0000 0.0000

***

[3]
ScNb2V2: relaxed, PBE.

DFT formation energy ... 1.036 eV/f.u.
Total moment ... 0.0 μB per formula unit
Distance to the lowest polymorph of the same formula ... 0.000 eV/atom

Unit cell a=7.3544 b=7.3544 c=3.2939 alpha=90.00 beta=90.00 gamma=90.00
Element x y z (fractional)
Nb 0.3455 0.1545 0.5000
Nb 0.6545 0.8455 0.5000
Nb 0.1545 0.6545 0.5000
Nb 0.8455 0.3455 0.5000
V 0.8670 0.6330 0.0000
V 0.3670 0.8670 0.0000
V 0.6330 0.1330 0.0000
V 0.1330 0.3670 0.0000
Sc 0.0000 0.0000 0.0000
Sc 0.5000 0.5000 0.0000

***

[4]
Sc2Nb2V: relaxed, PBE.

DFT formation energy ... 1.334 eV/f.u.
Total moment ... 0.0 μB per formula unit

Unit cell a=6.4364 b=6.4364 c=4.8815 alpha=90.00 beta=90.00 gamma=90.00
Element x y z (fractional)
Nb 0.1480 0.3520 0.0000
Nb 0.3520 0.8520 0.0000
Nb 0.6480 0.1480 0.0000
Nb 0.8520 0.6480 0.0000
V 0.0000 0.0000 0.0000
V 0.5000 0.5000 0.0000
Sc 0.1692 0.6692 0.5000
Sc 0.8308 0.3308 0.5000
Sc 0.6692 0.8308 0.5000
Sc 0.3308 0.1692 0.5000

***

[5]
ScNb2V: relaxed, PBE.

DFT formation energy ... 0.917 eV/f.u.
Total moment ... 0.2 μB per formula unit
Distance to the lowest polymorph of the same formula ... 0.095 eV/atom

Unit cell a=4.6459 b=4.6459 c=4.6459 alpha=60.00 beta=60.00 gamma=60.00
Site moments in Bohr magnetons follow the coordinates.
Element x y z (fractional)
Sc 0.0000 0.0000 0.0000  -0.01
Nb 0.2500 0.2500 0.2500  0.00
Nb 0.7500 0.7500 0.7500  0.00
V 0.5000 0.5000 0.5000  0.18

***

[6]
YScNb2V: relaxed, PBE.

DFT formation energy ... 10.252 eV/f.u.
Total moment ... 0.4 μB per formula unit

Unit cell a=4.8726 b=4.8726 c=5.0158 alpha=90.00 beta=90.00 gamma=90.00
Site moments in Bohr magnetons follow the coordinates.
Element x y z (fractional)
Sc 0.0000 0.0000 0.5000  0.17
Nb 0.5000 0.0000 0.0000  0.09
Nb 0.0000 0.5000 0.0000  0.09
V 0.5000 0.5000 0.5000  -0.14
Y 0.0000 0.0000 0.0000  0.06

***

[7]
ScNbW4: relaxed, PBE.

DFT formation energy ... -0.038 eV/f.u.
Total moment ... 0.0 μB per formula unit

Unit cell a=5.3506 b=5.3506 c=5.3506 alpha=60.00 beta=60.00 gamma=60.00
Element x y z (fractional)
W 0.6251 0.6251 0.1247
W 0.6251 0.1247 0.6251
W 0.1247 0.6251 0.6251
W 0.6251 0.6251 0.6251
Sc 0.0000 0.0000 0.0000
Nb 0.2500 0.2500 0.2500

***

[8]
Sc2Nb2W: relaxed, PBE.

DFT formation energy ... 4.148 eV/f.u.
Total moment ... 0.0 μB per formula unit
Distance to the lowest polymorph of the same formula ... 0.512 eV/atom

Unit cell a=3.7500 b=3.7500 c=7.8524 alpha=76.19 beta=76.19 gamma=90.00
Element x y z (fractional)
Sc 0.5904 0.5904 0.8193
Sc 0.4096 0.4096 0.1807
W 0.0000 0.0000 0.0000
Nb 0.7500 0.2500 0.5000
Nb 0.2500 0.7500 0.5000

***

[9]
ScNbW: relaxed, PBE.

DFT formation energy ... 0.769 eV/f.u.
Total moment ... 0.0 μB per formula unit
Distance to the lowest polymorph of the same formula ... 0.118 eV/atom

Unit cell a=5.1759 b=5.1759 c=5.6798 alpha=106.15 beta=106.15 gamma=112.92
Element x y z (fractional)
W 0.2500 0.7500 0.5000
W 0.7500 0.2500 0.5000
Sc 0.3224 0.6776 0.0000
Sc 0.6776 0.3224 0.0000
Nb 0.8307 0.8307 0.6614
Nb 0.1693 0.1693 0.3386

***

[10]
ScNbW: relaxed, PBE.

DFT formation energy ... 0.414 eV/f.u.
Total moment ... 0.0 μB per formula unit
Distance to the lowest polymorph of the same formula ... 0.000 eV/atom

Unit cell a=3.3456 b=3.3456 c=5.6338 alpha=107.27 beta=107.27 gamma=90.00
Element x y z (fractional)
W 0.6843 0.6843 0.3687
Sc 0.0050 0.0050 0.0101
Nb 0.3106 0.3106 0.6212

***

[11]
Sc2Nb2W: relaxed, PBE.

DFT formation energy ... 3.642 eV/f.u.
Total moment ... 0.9 μB per formula unit
Distance to the lowest polymorph of the same formula ... 0.411 eV/atom

Unit cell a=7.3808 b=7.3808 c=3.5522 alpha=90.00 beta=90.00 gamma=90.00
Site moments in Bohr magnetons follow the coordinates.
Element x y z (fractional)
W 0.5000 0.5000 0.0000  0.62
W 0.0000 0.0000 0.0000  0.62
Sc 0.8640 0.6360 0.0000  0.08
Sc 0.3640 0.8640 0.0000  0.08
Sc 0.6360 0.1360 0.0000  0.08
Sc 0.1360 0.3640 0.0000  0.08
Nb 0.6694 0.8306 0.5000  -0.04
Nb 0.1694 0.6694 0.5000  -0.04
Nb 0.3306 0.1694 0.5000  -0.04
Nb 0.8306 0.3306 0.5000  -0.04

***

[12]
Sc2Nb4W: relaxed, PBE.

DFT formation energy ... 7.982 eV/f.u.
Total moment ... 1.8 μB per formula unit

Unit cell a=4.8065 b=4.8065 c=7.9505 alpha=72.41 beta=72.41 gamma=90.00
Site moments in Bohr magnetons follow the coordinates.
Element x y z (fractional)
Nb 0.0000 0.5000 0.0000  0.11
Nb 0.5000 0.0000 0.0000  0.11
Nb 0.8222 0.8222 0.3556  0.49
Nb 0.1778 0.1778 0.6444  0.49
Sc 0.6316 0.6316 0.7367  0.16
Sc 0.3684 0.3684 0.2633  0.16
W 0.0000 0.0000 0.0000  -0.05

***

[13]
Sc2NbW2: relaxed, PBE.

DFT formation energy ... 1.903 eV/f.u.
Total moment ... 0.0 μB per formula unit

Unit cell a=6.6328 b=6.6328 c=4.6456 alpha=90.00 beta=90.00 gamma=90.00
Element x y z (fractional)
Nb 0.5000 0.5000 0.0000
Nb 0.0000 0.0000 0.0000
W 0.1342 0.3658 0.0000
W 0.8658 0.6342 0.0000
W 0.6342 0.1342 0.0000
W 0.3658 0.8658 0.0000
Sc 0.8305 0.3305 0.5000
Sc 0.6695 0.8305 0.5000
Sc 0.1695 0.6695 0.5000
Sc 0.3305 0.1695 0.5000

***

[14]
Sc3NbW: relaxed, PBE.

DFT formation energy ... 5.168 eV/f.u.
Total moment ... 2.8 μB per formula unit
Distance to the lowest polymorph of the same formula ... 0.000 eV/atom

Unit cell a=5.0100 b=5.0100 c=5.0100 alpha=90.00 beta=90.00 gamma=90.00
Site moments in Bohr magnetons follow the coordinates.
Element x y z (fractional)
Sc 0.0000 0.0000 0.5000  0.03
Sc 0.0000 0.5000 0.0000  0.05
Sc 0.5000 0.0000 0.0000  0.05
W 0.0000 0.0000 0.0000  0.03
Nb 0.5000 0.5000 0.5000  1.99

***

[15]
Sc2Nb2W: relaxed, PBE.

DFT formation energy ... 1.588 eV/f.u.
Total moment ... 0.0 μB per formula unit
Distance to the lowest polymorph of the same formula ... 0.000 eV/atom

Unit cell a=6.5956 b=6.5956 c=4.8463 alpha=90.00 beta=90.00 gamma=90.00
Element x y z (fractional)
Sc 0.6708 0.8292 0.5000
Sc 0.1708 0.6708 0.5000
Sc 0.3292 0.1708 0.5000
Sc 0.8292 0.3292 0.5000
Nb 0.6432 0.1432 0.0000
Nb 0.3568 0.8568 0.0000
Nb 0.1432 0.3568 0.0000
Nb 0.8568 0.6432 0.0000
W 0.5000 0.5000 0.0000
W 0.0000 0.0000 0.0000

***

[16]
Sc2Nb2W: relaxed, PBE.

DFT formation energy ... 3.981 eV/f.u.
Total moment ... 0.0 μB per formula unit
Distance to the lowest polymorph of the same formula ... 0.478 eV/atom

Unit cell a=3.8461 b=3.8461 c=7.3899 alpha=74.92 beta=74.92 gamma=90.00
Element x y z (fractional)
Sc 0.7500 0.2500 0.5000
Sc 0.2500 0.7500 0.5000
W 0.0000 0.0000 0.0000
Nb 0.5849 0.5849 0.8302
Nb 0.4151 0.4151 0.1698

***

[17]
YScNb3: relaxed, PBE.

DFT formation energy ... 8.455 eV/f.u.
Total moment ... 0.0 μB per formula unit
Distance to the lowest polymorph of the same formula ... 0.483 eV/atom

Unit cell a=4.9727 b=4.9727 c=4.9727 alpha=90.00 beta=90.00 gamma=90.00
Element x y z (fractional)
Sc 0.5000 0.5000 0.5000
Nb 0.0000 0.0000 0.5000
Nb 0.5000 0.0000 0.0000
Nb 0.0000 0.5000 0.0000
Y 0.0000 0.0000 0.0000

***

[18]
YSc2Nb: relaxed, PBE.

DFT formation energy ... 2.327 eV/f.u.
Total moment ... 0.0 μB per formula unit
Distance to the lowest polymorph of the same formula ... 0.431 eV/atom

Unit cell a=4.3485 b=4.3485 c=10.9287 alpha=78.52 beta=78.52 gamma=90.00
Element x y z (fractional)
Nb 0.7500 0.2500 0.5000
Nb 0.0000 0.0000 0.0000
Y 0.2500 0.7500 0.5000
Y 0.5000 0.5000 0.0000
Sc 0.1025 0.1250 0.2500
Sc 0.3750 0.8975 0.7500
Sc 0.8750 0.3525 0.7500
Sc 0.6475 0.6250 0.2500

***

[19]
YSc3Nb: relaxed, PBE.

DFT formation energy ... 6.892 eV/f.u.
Total moment ... 0.0 μB per formula unit
Distance to the lowest polymorph of the same formula ... 0.958 eV/atom

Unit cell a=5.0144 b=5.0144 c=5.0144 alpha=90.00 beta=90.00 gamma=90.00
Element x y z (fractional)
Y 0.0000 0.0000 0.0000
Nb 0.5000 0.5000 0.5000
Sc 0.0000 0.5000 0.0000
Sc 0.5000 0.0000 0.0000
Sc 0.0000 0.0000 0.5000

***

[20]
YSc2Nb: relaxed, PBE.

DFT formation energy ... 0.981 eV/f.u.
Total moment ... 0.0 μB per formula unit
Distance to the lowest polymorph of the same formula ... 0.095 eV/atom

Unit cell a=5.0874 b=5.0874 c=5.0874 alpha=60.00 beta=60.00 gamma=60.00
Element x y z (fractional)
Sc 0.7500 0.7500 0.7500
Sc 0.2500 0.2500 0.2500
Nb 0.5000 0.5000 0.5000
Y 0.0000 0.0000 0.0000

***

[21]
YSc3Nb: relaxed, PBE.

DFT formation energy ... 2.101 eV/f.u.
Total moment ... 0.0 μB per formula unit
Distance to the lowest polymorph of the same formula ... 0.000 eV/atom

Unit cell a=5.1488 b=5.1488 c=5.1488 alpha=90.00 beta=90.00 gamma=90.00
Element x y z (fractional)
Y 0.5000 0.5000 0.5000
Sc 0.0000 0.5000 0.0000
Sc 0.0000 0.0000 0.5000
Sc 0.5000 0.0000 0.0000
Nb 0.0000 0.0000 0.0000

***

[22]
Y2ScNb2: relaxed, PBE.

DFT formation energy ... 2.830 eV/f.u.
Total moment ... 0.0 μB per formula unit
Distance to the lowest polymorph of the same formula ... 0.248 eV/atom

Unit cell a=8.2870 b=8.2870 c=3.5448 alpha=90.00 beta=90.00 gamma=90.00
Element x y z (fractional)
Sc 0.0000 0.0000 0.0000
Sc 0.5000 0.5000 0.0000
Y 0.8607 0.6393 0.0000
Y 0.3607 0.8607 0.0000
Y 0.6393 0.1393 0.0000
Y 0.1393 0.3607 0.0000
Nb 0.3417 0.1583 0.5000
Nb 0.6583 0.8417 0.5000
Nb 0.8417 0.3417 0.5000
Nb 0.1583 0.6583 0.5000

***

[23]
YSc2Nb: relaxed, PBE.

DFT formation energy ... 0.602 eV/f.u.
Total moment ... 0.0 μB per formula unit
Distance to the lowest polymorph of the same formula ... 0.000 eV/atom

Unit cell a=3.6873 b=3.6873 c=7.0643 alpha=90.00 beta=90.00 gamma=90.00
Element x y z (fractional)
Sc 0.0000 0.0000 0.7942
Sc 0.0000 0.0000 0.2058
Y 0.5000 0.5000 0.5000
Nb 0.5000 0.5000 0.0000

***

[24]
YSc2Nb: relaxed, PBE.

DFT formation energy ... 0.771 eV/f.u.
Total moment ... 0.0 μB per formula unit
Distance to the lowest polymorph of the same formula ... 0.042 eV/atom

Unit cell a=3.2220 b=3.2220 c=10.8294 alpha=81.44 beta=81.44 gamma=60.00
Element x y z (fractional)
Y 0.5000 0.5000 0.5000
Sc 0.2590 0.2590 0.2229
Sc 0.7410 0.7410 0.7771
Nb 0.0000 0.0000 0.0000

***

[25]
YSc2Nb2: relaxed, PBE.

DFT formation energy ... 0.964 eV/f.u.
Total moment ... 0.0 μB per formula unit

Unit cell a=8.3192 b=8.3192 c=3.3418 alpha=90.00 beta=90.00 gamma=90.00
Element x y z (fractional)
Y 0.0000 0.0000 0.0000
Y 0.5000 0.5000 0.0000
Nb 0.1099 0.3901 0.0000
Nb 0.6099 0.1099 0.0000
Nb 0.8901 0.6099 0.0000
Nb 0.3901 0.8901 0.0000
Sc 0.3177 0.1823 0.5000
Sc 0.1823 0.6823 0.5000
Sc 0.6823 0.8177 0.5000
Sc 0.8177 0.3177 0.5000

***

[26]
Y2ScNb2: relaxed, PBE.

DFT formation energy ... 2.618 eV/f.u.
Total moment ... 0.0 μB per formula unit
Distance to the lowest polymorph of the same formula ... 0.205 eV/atom

Unit cell a=4.0087 b=4.0087 c=8.4834 alpha=76.33 beta=76.33 gamma=90.00
Element x y z (fractional)
Nb 0.2500 0.7500 0.5000
Nb 0.7500 0.2500 0.5000
Y 0.6021 0.6021 0.7958
Y 0.3979 0.3979 0.2042
Sc 0.0000 0.0000 0.0000

***

[27]
Y2ScNb2: relaxed, PBE.

DFT formation energy ... 1.592 eV/f.u.
Total moment ... 0.0 μB per formula unit
Distance to the lowest polymorph of the same formula ... 0.000 eV/atom

Unit cell a=7.8001 b=7.8001 c=4.1085 alpha=90.00 beta=90.00 gamma=90.00
Element x y z (fractional)
Y 0.6704 0.8296 0.5000
Y 0.3296 0.1704 0.5000
Y 0.1704 0.6704 0.5000
Y 0.8296 0.3296 0.5000
Nb 0.8784 0.6216 0.0000
Nb 0.3784 0.8784 0.0000
Nb 0.6216 0.1216 0.0000
Nb 0.1216 0.3784 0.0000
Sc 0.5000 0.5000 0.0000
Sc 0.0000 0.0000 0.0000